(1)
Entry from the Alexandria database: crystalline Sr3SiP at its relaxed geometry (PBE).

Unit cell a=5.7405 b=5.7405 c=5.7405 alpha=90.00 beta=90.00 gamma=90.00
Space group Pm-3m (No. 221)
Inequivalent atoms, fractional coordinates:
Sr 0.0000 0.0000 0.5000
Si 0.5000 0.5000 0.5000
P 0.0000 0.0000 0.0000

Fermi-level density of states: 4.75 states/eV per cell
ΔE_f (raw): -0.369 eV/atom

=====

(2)
Entry from the Alexandria database: crystalline Sr3SiP4 at its relaxed geometry (PBE).

Unit cell a=8.1278 b=10.2141 c=9.5418 alpha=90.00 beta=90.00 gamma=90.00
Space group Pnma (No. 62)
Inequivalent atoms, fractional coordinates:
Sr 0.0409 0.0484 0.1893
Sr 0.1670 0.7500 0.4166
Si 0.2290 0.2500 0.4520
P 0.0498 0.7500 0.0927
P 0.1249 0.0458 0.5329
P 0.2055 0.7500 0.7288

ΔE_f (raw): -0.862 eV/atom

=====

(3)
Entry from the Alexandria database: crystalline SrSi3P at its relaxed geometry (PBE).

Unit cell a=4.7765 b=4.7765 c=4.7765 alpha=90.00 beta=90.00 gamma=90.00
Space group Pm-3m (No. 221)
Inequivalent atoms, fractional coordinates:
Sr 0.0000 0.0000 0.0000
Si 0.0000 0.5000 0.5000
P 0.5000 0.5000 0.5000

Fermi-level density of states: 2.08 states/eV per cell
ΔE_f (raw): 0.351 eV/atom

=====

(4)
Entry from the Alexandria database: crystalline Sr2SiP at its relaxed geometry (PBE).

Unit cell a=7.4537 b=7.4537 c=7.4537 alpha=90.00 beta=90.00 gamma=90.00
Space group F-43m (No. 216)
Inequivalent atoms, fractional coordinates:
Sr 0.0000 0.0000 0.0000
Sr 0.2500 0.2500 0.2500
Si 0.2500 0.2500 0.7500
P 0.0000 0.0000 0.5000

Fermi-level density of states: 17.94 states/eV per cell
ΔE_f (raw): 0.153 eV/atom